Record 1
VASP calculation (PBE) on crystalline Ti2RhSeI at its relaxed geometry.

Results
* density: 6.25 g/cm³
* crystal system: tetragonal
* E_form (uncorrected): 4.28 kcal/mol of atoms

Cell and atoms, written as CIF:
```
data_Ti2RhSeI
_symmetry_space_group_name_H-M 'P 1'
_symmetry_Int_Tables_number 1
_cell_length_a 4.820
_cell_length_b 4.623
_cell_length_c 4.820
_cell_angle_alpha 90.00
_cell_angle_beta 90.00
_cell_angle_gamma 90.00
loop_
_symmetry_equiv_pos_as_xyz
'x,y,z'
loop_
_atom_site_label
_atom_site_type_symbol
_atom_site_fract_x
_atom_site_fract_y
_atom_site_fract_z
_atom_site_occupancy
Rh1 Rh 0.000 0.500 0.000 1
Ti1 Ti 0.500 0.000 0.000 1
Ti2 Ti 0.000 0.000 0.500 1
I1 I 0.500 0.500 0.500 1
Se1 Se 0.000 0.000 0.000 1
```

=====

Record 2
VASP calculation (PBE) on crystalline LiAlZn3 at its relaxed geometry.

Results
* density: 3.27 g/cm³
* crystal system: cubic

Cell and atoms, written as CIF:
```
data_LiAlZn3
_symmetry_space_group_name_H-M 'P 1'
_symmetry_Int_Tables_number 1
_cell_length_a 4.888
_cell_length_b 4.888
_cell_length_c 4.888
_cell_angle_alpha 90.00
_cell_angle_beta 90.00
_cell_angle_gamma 90.00
loop_
_symmetry_equiv_pos_as_xyz
'x,y,z'
loop_
_atom_site_label
_atom_site_type_symbol
_atom_site_fract_x
_atom_site_fract_y
_atom_site_fract_z
_atom_site_occupancy
Li1 Li 0.500 0.500 0.500 1
Zn1 Zn 0.500 0.000 0.000 1
Zn2 Zn 0.000 0.000 0.500 1
Zn3 Zn 0.000 0.500 0.000 1
Al1 Al 0.000 0.000 0.000 1
```

=====

no.,E_tot (eV/atom),calculated volume (A^3/atom)
1,-5.4496,21.48
2,-1.5611,23.36